[1]
CaHoNi | PBE | optimized geometry

Computed properties:
Total energy: -4.286 eV/atom
DOS at the Fermi energy: 4.7 states/eV/cell
ΔH_f (0 K): -0.497 eV/f.u.
Relative energy among the computed polymorphs: 121 meV per atom

Cell: 3.4388 3.4388 12.7777 Å, 90.00 90.00 90.00°
With the nearest neighbours (Å) after each atom.
Space group I4mm (No. 107)
Asymmetric unit:
Ca 0.0000 0.0000 0.0000 (multiplicity 2)  4 Ni 3.08, 1 Ho 3.28, 4 Ca 3.44
Ho 0.0000 0.0000 0.2566 (multiplicity 2)  4 Ni 2.80
Ni 0.0000 0.0000 0.6477 (multiplicity 2)  4 Ho 2.80, 4 Ca 3.08

---

[2]
ReIrW2 | PBE | optimized geometry

Computed properties:
Total energy: -11.636 eV/atom
DOS at the Fermi energy: 5.8 states/eV/cell
ΔH_f (0 K): 0.672 eV/f.u.

Cell: 3.3100 3.3100 5.7157 Å, 90.00 90.00 90.00°
With the nearest neighbours (Å) after each atom.
Space group P4/mmm (No. 123)
Asymmetric unit:
Re 0.0000 0.0000 0.0000 (multiplicity 1)  8 W 2.75, 2 Ir 2.86
Ir 0.0000 0.0000 0.5000 (multiplicity 1)  8 W 2.73, 2 Re 2.86
W 0.5000 0.5000 0.2528 (multiplicity 2)  4 Ir 2.73, 4 Re 2.75, 2 W 2.83-2.89

---

> What is the formula in the first record?

CaHoNi

---

What did the second record say?
ReIrW2 | PBE | optimized geometry

Computed properties:
Total energy: -11.636 eV/atom
DOS at the Fermi energy: 5.8 states/eV/cell
ΔH_f (0 K): 0.672 eV/f.u.

Cell: 3.3100 3.3100 5.7157 Å, 90.00 90.00 90.00°
With the nearest neighbours (Å) after each atom.
Space group P4/mmm (No. 123)
Asymmetric unit:
Re 0.0000 0.0000 0.0000 (multiplicity 1)  8 W 2.75, 2 Ir 2.86
Ir 0.0000 0.0000 0.5000 (multiplicity 1)  8 W 2.73, 2 Re 2.86
W 0.5000 0.5000 0.2528 (multiplicity 2)  4 Ir 2.73, 4 Re 2.75, 2 W 2.83-2.89